Record 1
Na3U3As2 | GGA-PBE | relaxed

**Space-group type**: P-4m2 (115)
**Raw total energy**: -5.41 eV/atom
**Calculated volume**: 28.9 Å³/atom

```
Na3U3As2
1.0
4.333 0.000 0.000
0.000 4.333 0.000
0.000 0.000 12.322
As Na U
2 3 3
Direct
0.500 0.000 0.340
0.000 0.500 0.660
0.500 0.500 0.000
0.000 0.000 0.500
0.500 0.500 0.500
0.000 0.000 0.000
0.000 0.000 0.199
0.000 0.000 0.801
```

=====

Record 2
NaAsW | GGA-PBE | relaxed

**Space-group type**: F-43m (216)
**Raw total energy**: -5.48 eV/atom
**Calculated volume**: 19.3 Å³/atom

```
NaAsW
1.0
0.000 3.071 3.071
3.071 0.000 3.071
3.071 3.071 0.000
As Na W
1 1 1
Direct
0.000 0.000 0.000
0.250 0.250 0.250
0.750 0.750 0.750
```

=====

Record 3
NbAs2 | GGA-PBE | relaxed

**Space-group type**: Fd-3m (227)
**Raw total energy**: -5.93 eV/atom
**Calculated volume**: 18.4 Å³/atom

```
NbAs2
1.0
0.000 3.805 3.805
3.805 0.000 3.805
3.805 3.805 0.000
As Nb
4 2
Direct
0.625 0.625 0.125
0.625 0.125 0.625
0.125 0.625 0.625
0.625 0.625 0.625
0.000 0.000 0.000
0.250 0.250 0.250
```

=====

Record 4
NbAs2 | GGA-PBE | relaxed

**Space-group type**: Fd-3m (227)
**Raw total energy**: -5.99 eV/atom
**Calculated volume**: 58.8 Å³/atom

```
NbAs2
1.0
3.965 2.289 6.475
-3.965 2.289 6.475
0.000 -4.578 6.475
As Nb
4 2
Direct
0.375 0.875 0.375
0.375 0.375 0.375
0.875 0.375 0.375
0.375 0.375 0.875
0.250 0.250 0.250
0.500 0.500 0.500
```

=====

Record 5
Nb2As | GGA-PBE | relaxed

**Space-group type**: Fd-3m (227)
**Raw total energy**: -5.83 eV/atom
**Calculated volume**: 66.6 Å³/atom

```
Nb2As
1.0
-7.222 1.895 -3.547
-5.861 -5.775 -0.783
-6.867 0.433 4.581
As Nb
2 4
Direct
0.250 0.250 0.250
0.500 0.500 0.500
0.875 0.375 0.375
0.375 0.875 0.375
0.375 0.375 0.375
0.375 0.375 0.875
```

=====

Record 6
NbAs | GGA-PBE | relaxed

**Space-group type**: P-6m2 (187)
**Raw total energy**: -8.03 eV/atom
**Calculated volume**: 17.8 Å³/atom

```
NbAs
1.0
3.425 0.000 0.000
-1.712 2.966 0.000
0.000 0.000 3.498
As Nb
1 1
Direct
0.667 0.333 0.750
0.333 0.667 0.250
```

=====

- Which value of raw total energy does entry 1 give?
  -5.41 eV/atom